LuHfAlFe: optimized geometry, PBE.

Summary:
offset from the most stable computed form	0.00	kcal/mol of atoms

The structure in POSCAR format:
```
LuHfAlFe
1.0
0.0000 3.2651 3.2651
3.2651 0.0000 3.2651
3.2651 3.2651 0.0000
Lu Hf Al Fe
1 1 1 1
Direct
0.0000 0.0000 0.0000 Lu
0.7500 0.7500 0.7500 Hf
0.2500 0.2500 0.2500 Al
0.5000 0.5000 0.5000 Fe
```